(1)
## Pm2PrNd9 (GGA-PBE)

Data for a geometry-optimized Pm2PrNd9 structure.

Cell: 5.2004 5.2004 15.5903 Å, 90.00 90.00 90.00°
Last column: nearest neighbours and their distance in Å.
Positions (direct):
Pm 0.0000 0.0000 0.3337  12 Nd 3.67-3.68
Pm 0.0000 0.0000 0.6663  12 Nd 3.67-3.68
Pr 0.0000 0.0000 0.0000  12 Nd 3.68-3.69
Nd 0.5000 0.5000 0.0000  4 Pr 3.68, 8 Nd 3.69
Nd 0.5000 0.5000 0.3338  8 Nd 3.67, 4 Pm 3.68
Nd 0.5000 0.5000 0.6662  8 Nd 3.67, 4 Pm 3.68
Nd 0.5000 0.0000 0.1675  2 Pm 3.67, 8 Nd 3.67-3.69, 2 Pr 3.69
Nd 0.5000 0.0000 0.5000  8 Nd 3.67-3.68, 4 Pm 3.67
Nd 0.5000 0.0000 0.8325  2 Pm 3.67, 8 Nd 3.67-3.69, 2 Pr 3.69
Nd 0.0000 0.5000 0.1675  2 Pm 3.67, 8 Nd 3.67-3.69, 2 Pr 3.69
Nd 0.0000 0.5000 0.5000  8 Nd 3.67-3.68, 4 Pm 3.67
Nd 0.0000 0.5000 0.8325  2 Pm 3.67, 8 Nd 3.67-3.69, 2 Pr 3.69

Summary:
Polymorph energy (0 for the lowest one)   0 meV per atom
Electronic total energy   -4.75 eV per atom
Mass density   6810 kg/m³
D(E_F)   1.665 states/eV per atom

=====

(2)
## KY2Os (GGA-PBE)

Data for a geometry-optimized KY2Os structure.

Cell: 9.3610 9.3610 9.3610 Å, 158.47 152.12 35.50°
Last column: nearest neighbours and their distance in Å.
Positions (direct):
K 0.4183 0.4183 0.0000  2 K 3.50, 2 Y 3.76, 2 Os 3.86
Os 0.2252 0.7252 0.5000  6 Y 2.74-2.89
Y 0.1069 0.1069 0.0000  2 Os 2.74
Y 0.7496 0.2496 0.5000  4 Os 2.89

Summary:
Polymorph energy (0 for the lowest one)   283 meV per atom
Electronic total energy   -6.05 eV per atom
Mass density   4807 kg/m³
D(E_F)   0.852 states/eV per atom

=====

(3)
## Hf3MnH (GGA-PBE)

Data for a geometry-optimized Hf3MnH structure.

Cell: 4.7972 4.7972 4.7972 Å, 90.00 90.00 90.00°
Last column: nearest neighbours and their distance in Å.
Positions (direct):
H 0.5000 0.5000 0.5000  12 Hf 3.39
Mn 0.0000 0.0000 0.0000  6 Hf 2.40
Hf 0.0000 0.5000 0.0000  2 Mn 2.40
Hf 0.0000 0.0000 0.5000  2 Mn 2.40
Hf 0.5000 0.0000 0.0000  2 Mn 2.40

Summary:
Polymorph energy (0 for the lowest one)   853 meV per atom
Electronic total energy   -7.48 eV per atom
Mass density   8895 kg/m³
D(E_F)   1.467 states/eV per atom

=====

(4)
## PmHo2Er4Sc (GGA-PBE)

Data for a geometry-optimized PmHo2Er4Sc structure.

Cell: 9.3470 9.3470 11.5653 Å, 128.21 128.21 88.75°
Last column: nearest neighbours and their distance in Å.
Positions (direct):
Pm 0.0000 0.5000 0.0000  6 Er 3.29-3.35, 2 Ho 3.35
Pm 0.0000 0.5000 0.5000  6 Er 3.29-3.35, 2 Ho 3.35
Ho 0.5000 0.0000 0.0000  6 Er 3.26-3.34, 2 Pm 3.35
Ho 0.5000 0.0000 0.5000  6 Er 3.26-3.34, 2 Pm 3.35
Ho 0.0000 0.0000 0.5000  2 Ho 3.35, 6 Er 3.39-3.46
Ho 0.5000 0.5000 0.0000  2 Ho 3.35, 6 Er 3.39-3.46
Er 0.2414 0.7605 0.0010  1 Sc 3.14, 2 Er 3.33-3.36, 3 Ho 3.34-3.39, 2 Pm 3.35
Er 0.7395 0.2586 0.4990  1 Sc 3.14, 2 Er 3.33-3.36, 3 Ho 3.34-3.39, 2 Pm 3.35
Er 0.2605 0.7414 0.5010  1 Sc 3.14, 2 Er 3.33-3.36, 3 Ho 3.34-3.39, 2 Pm 3.35
Er 0.7586 0.2395 0.9990  1 Sc 3.14, 2 Er 3.33-3.36, 3 Ho 3.34-3.39, 2 Pm 3.35
Er 0.7475 0.7497 0.9877  2 Sc 3.23-3.24, 3 Ho 3.26-3.46, 1 Pm 3.29, 2 Er 3.35
Er 0.7502 0.7525 0.5123  2 Sc 3.23-3.24, 3 Ho 3.26-3.46, 1 Pm 3.29, 2 Er 3.35
Er 0.2497 0.2475 0.4877  2 Sc 3.23-3.24, 3 Ho 3.26-3.46, 1 Pm 3.29, 2 Er 3.35
Er 0.2525 0.2503 0.0123  2 Sc 3.23-3.24, 3 Ho 3.26-3.46, 1 Pm 3.29, 2 Er 3.35
Sc 0.5000 0.5000 0.5000  6 Er 3.14-3.24, 2 Sc 3.35
Sc 0.0000 0.0000 0.0000  6 Er 3.14-3.24, 2 Sc 3.35

Summary:
Electronic total energy   -4.36 eV per atom
Mass density   7800 kg/m³
D(E_F)   2.186 states/eV per atom

=====

(5)
## PrAs3 (GGA-PBE)

Data for a geometry-optimized PrAs3 structure.

Cell: 4.4646 4.4646 4.4646 Å, 90.00 90.00 90.00°
Last column: nearest neighbours and their distance in Å.
Positions (direct):
Pr 0.0000 0.0000 0.0000  12 As 3.16
As 0.0000 0.5000 0.5000  8 As 3.16, 4 Pr 3.16
As 0.5000 0.0000 0.5000  8 As 3.16, 4 Pr 3.16
As 0.5000 0.5000 0.0000  8 As 3.16, 4 Pr 3.16

Summary:
Electronic total energy   -5.20 eV per atom
Mass density   6823 kg/m³
D(E_F)   0.816 states/eV per atom

=====

(6)
## Pm14PrY (GGA-PBE)

Data for a geometry-optimized Pm14PrY structure.

Cell: 7.3821 7.3821 11.8041 Å, 90.00 90.00 120.01°
Last column: nearest neighbours and their distance in Å.
Positions (direct):
Pm 0.6667 0.3333 0.5000  12 Pm 3.63-3.69
Pm 0.1666 0.8334 0.5000  12 Pm 3.64-3.69
Pm 0.1654 0.3328 0.0000  8 Pm 3.63-3.70, 2 Pr 3.68-3.70, 2 Y 3.69
Pm 0.1667 0.3333 0.5000  12 Pm 3.63-3.69
Pm 0.6672 0.8346 0.0000  8 Pm 3.63-3.70, 2 Pr 3.68-3.70, 2 Y 3.69
Pm 0.6667 0.8333 0.5000  12 Pm 3.63-3.69
Pm 0.3335 0.1670 0.7503  1 Y 3.64, 1 Pr 3.64, 10 Pm 3.64-3.70
Pm 0.3335 0.1670 0.2497  1 Y 3.64, 1 Pr 3.64, 10 Pm 3.64-3.70
Pm 0.8330 0.6665 0.7503  1 Y 3.64, 1 Pr 3.64, 10 Pm 3.64-3.70
Pm 0.8330 0.6665 0.2497  1 Y 3.64, 1 Pr 3.64, 10 Pm 3.64-3.70
Pm 0.8335 0.1665 0.7492  11 Pm 3.63-3.69, 1 Pr 3.65
Pm 0.8335 0.1665 0.2508  11 Pm 3.63-3.69, 1 Pr 3.65
Pm 0.3336 0.6664 0.7511  11 Pm 3.63-3.70, 1 Y 3.63
Pm 0.3336 0.6664 0.2489  11 Pm 3.63-3.70, 1 Y 3.63
Pr 0.6670 0.3330 0.0000  10 Pm 3.64-3.70, 2 Y 3.69
Y 0.1665 0.8335 0.0000  10 Pm 3.63-3.69, 2 Pr 3.69

Summary:
Electronic total energy   -4.83 eV per atom
Mass density   6736 kg/m³
D(E_F)   1.851 states/eV per atom

=====

(7)
## ZrTi2S3 (GGA-PBE)

Data for a geometry-optimized ZrTi2S3 structure.

Cell: 5.0855 7.0357 6.2901 Å, 105.59 113.84 90.00°
Last column: nearest neighbours and their distance in Å.
Positions (direct):
Zr 0.9806 0.7500 0.0000  6 S 2.54-2.69
Zr 0.0194 0.2500 0.0000  6 S 2.54-2.69
Ti 0.6809 0.5687 0.2855  5 S 2.36-2.63
Ti 0.6046 0.0687 0.2855  5 S 2.36-2.63
Ti 0.3954 0.9313 0.7145  5 S 2.36-2.63
Ti 0.3191 0.4313 0.7145  5 S 2.36-2.63
S 0.5184 0.2500 0.0000  4 Ti 2.36-2.37, 2 Zr 2.54-2.55
S 0.4816 0.7500 0.0000  4 Ti 2.36-2.37, 2 Zr 2.54-2.55
S 0.1643 0.0913 0.3672  4 Ti 2.49-2.68, 2 Zr 2.67-2.69
S 0.7971 0.4087 0.6328  4 Ti 2.49-2.68, 2 Zr 2.67-2.69
S 0.2029 0.5913 0.3672  4 Ti 2.49-2.68, 2 Zr 2.67-2.69
S 0.8357 0.9087 0.6328  4 Ti 2.49-2.68, 2 Zr 2.67-2.69

Summary:
Electronic total energy   -7.39 eV per atom
Mass density   4779 kg/m³
D(E_F)   0.825 states/eV per atom
Uncorrected formation energy   -1.275 eV per atom

=====

(8)
## CsLa3Pt (GGA-PBE)

Data for a geometry-optimized CsLa3Pt structure.

Cell: 5.9282 5.9282 5.9282 Å, 90.00 90.00 90.00°
Last column: nearest neighbours and their distance in Å.
Positions (direct):
Cs 0.5000 0.5000 0.5000  12 La 4.19
Pt 0.0000 0.0000 0.0000  6 La 2.96
La 0.0000 0.5000 0.0000  2 Pt 2.96
La 0.0000 0.0000 0.5000  2 Pt 2.96
La 0.5000 0.0000 0.0000  2 Pt 2.96

Summary:
Polymorph energy (0 for the lowest one)   0 meV per atom
Electronic total energy   -4.51 eV per atom
Mass density   5936 kg/m³
D(E_F)   2.444 states/eV per atom

=====

(9)
## DyMgAl3 (GGA-PBE)

Data for a geometry-optimized DyMgAl3 structure.

Cell: 4.5302 3.3999 13.5129 Å, 97.23 90.00 90.00°
Last column: nearest neighbours and their distance in Å.
Positions (direct):
Dy 0.2500 0.0742 0.1485  12 Al 3.13-3.24, 2 Dy 3.40
Dy 0.7500 0.9258 0.8515  12 Al 3.13-3.24, 2 Dy 3.40
Mg 0.2500 0.7839 0.5678  7 Al 2.86-3.02
Mg 0.7500 0.2161 0.4322  7 Al 2.86-3.02
Al 0.2500 0.3758 0.7515  3 Al 2.67
Al 0.7500 0.6242 0.2485  3 Al 2.67
Al 0.2500 0.4753 0.9507  3 Al 2.62-2.67
Al 0.7500 0.5247 0.0493  3 Al 2.62-2.67
Al 0.7500 0.3229 0.6457  2 Al 2.67, 1 Mg 2.86
Al 0.2500 0.6771 0.3543  2 Al 2.67, 1 Mg 2.86

Summary:
Electronic total energy   -3.76 eV per atom
Mass density   4307 kg/m³
D(E_F)   0.343 states/eV per atom

=====

(10)
## TlCrNi3 (GGA-PBE)

Data for a geometry-optimized TlCrNi3 structure.

Cell: 4.3884 4.3884 4.3884 Å, 90.00 90.00 90.00°
Last column: nearest neighbours and their distance in Å.
Positions (direct):
Ni 0.0000 0.5000 0.0000  2 Cr 2.19
Ni 0.0000 0.0000 0.5000  2 Cr 2.19
Ni 0.5000 0.0000 0.0000  2 Cr 2.19
Tl 0.5000 0.5000 0.5000  12 Ni 3.10
Cr 0.0000 0.0000 0.0000  6 Ni 2.19

Summary:
Polymorph energy (0 for the lowest one)   0 meV per atom
Electronic total energy   -4.86 eV per atom
Mass density   8497 kg/m³
D(E_F)   1.310 states/eV per atom

=====

(11)
## TbY3Sb2 (GGA-PBE)

Data for a geometry-optimized TbY3Sb2 structure.

Cell: 7.0388 7.5843 8.8801 Å, 115.28 113.35 90.00°
Last column: nearest neighbours and their distance in Å.
Positions (direct):
Tb 0.0000 0.5000 0.0000  2 Sb 3.13
Tb 0.0000 0.0000 0.0000  2 Sb 3.13
Y 0.5000 0.2500 0.0000  4 Sb 3.10
Y 0.5000 0.7500 0.0000  4 Sb 3.10
Y 0.7930 0.0430 0.5860  4 Sb 3.09-3.10
Y 0.2070 0.4570 0.4140  4 Sb 3.09-3.10
Y 0.2070 0.9570 0.4140  4 Sb 3.09-3.10
Y 0.7930 0.5430 0.5860  4 Sb 3.09-3.10
Sb 0.5270 0.3529 0.7058  6 Y 3.09-3.10, 1 Tb 3.13
Sb 0.8212 0.1471 0.2942  6 Y 3.09-3.10, 1 Tb 3.13
Sb 0.1788 0.8529 0.7058  6 Y 3.09-3.10, 1 Tb 3.13
Sb 0.4730 0.6471 0.2942  6 Y 3.09-3.10, 1 Tb 3.13

Summary:
Polymorph energy (0 for the lowest one)   233 meV per atom
Electronic total energy   -5.97 eV per atom
Mass density   5768 kg/m³
D(E_F)   1.275 states/eV per atom
Uncorrected formation energy   -0.594 eV per atom

=====

(12)
## PrSc2Pd (GGA-PBE)

Data for a geometry-optimized PrSc2Pd structure.

Cell: 3.4960 3.4960 9.6970 Å, 79.61 79.61 60.00°
Last column: nearest neighbours and their distance in Å.
Positions (direct):
Pr 0.5000 0.5000 0.5000  6 Pr 3.50, 6 Sc 3.54
Sc 0.2688 0.2688 0.1936  3 Pd 2.73
Sc 0.7312 0.7312 0.8064  3 Pd 2.73
Pd 0.0000 0.0000 0.0000  6 Sc 2.73

Summary:
Polymorph energy (0 for the lowest one)   169 meV per atom
Electronic total energy   -5.90 eV per atom
Mass density   5578 kg/m³
D(E_F)   1.065 states/eV per atom